# 1
Computed, not measured: a relaxed structure of LaPN3 at the GGA-PBE level of DFT.

Unit cell a=4.330 b=4.330 c=4.330 alpha=90.00 beta=90.00 gamma=90.00
Space group Pm-3m (No. 221)
One atom of each set of equivalent atoms:
La 0.000 0.000 0.000 [1 per cell]
P 0.500 0.500 0.500 [1 per cell]
N 0.000 0.000 0.500 [3 per cell]

Values from the calculation:
- raw formation energy (kJ/mol of atoms) = 192
- N(E_F) (states/eV/f.u.) = 5.19
- magnetization (μB per atom) = 0.000
- electronic total energy (eV/atom) = -5.073

# 2
Computed, not measured: a relaxed structure of TlGaO2 at the GGA-PBE level of DFT.

Unit cell a=3.079 b=3.926 c=10.442 alpha=90.00 beta=97.29 gamma=90.00
Space group P2_1/m (No. 11)
One atom of each set of equivalent atoms:
Tl 0.064 0.250 0.341 [2 per cell]
Ga 0.288 0.750 0.087 [2 per cell]
O 0.163 0.250 0.789 [2 per cell]
O 0.269 0.250 0.050 [2 per cell]

Values from the calculation:
- raw formation energy (kJ/mol of atoms) = -130
- N(E_F) (states/eV/f.u.) = 0.00
- relative energy among the computed polymorphs (meV/atom) = 62
- magnetization (μB per atom) = 0.000
- electronic total energy (eV/atom) = -5.170

# 3
Computed, not measured: a relaxed structure of Mg5Mn3 at the GGA-PBE level of DFT.

Unit cell a=6.753 b=9.338 c=4.653 alpha=90.00 beta=90.00 gamma=90.00
Space group Cmmm (No. 65)
One atom of each set of equivalent atoms:
Mg 0.000 0.000 0.000 [2 per cell]
Mg 0.234 0.500 0.500 [4 per cell]
Mg 0.250 0.250 0.000 [4 per cell]
Mn 0.000 0.246 0.500 [4 per cell]
Mn 0.000 0.500 0.000 [2 per cell]

Values from the calculation:
- N(E_F) (states/eV/f.u.) = 5.37
- relative energy among the computed polymorphs (meV/atom) = 0
- magnetization (μB per atom) = 1.323
- electronic total energy (eV/atom) = -4.188
- formation enthalpy at 0 K (eV per atom) = 0.25

# 4
Computed, not measured: a relaxed structure of Li5Ag8Sn at the GGA-PBE level of DFT.

Unit cell a=7.951 b=7.951 c=7.896 alpha=90.00 beta=90.00 gamma=90.00
Space group I-4 (No. 82)
One atom of each set of equivalent atoms:
Li 0.000 0.000 0.000 [2 per cell]
Li 0.130 0.219 0.587 [8 per cell]
Ag 0.069 0.332 0.904 [8 per cell]
Ag 0.093 0.160 0.257 [8 per cell]
Sn 0.000 0.500 0.250 [2 per cell]

Values from the calculation:
- N(E_F) (states/eV/f.u.) = 4.69
- magnetization (μB per atom) = 0.000
- electronic total energy (eV/atom) = -2.697
- formation enthalpy at 0 K (eV per atom) = -0.10

# 5
Computed, not measured: a relaxed structure of KNa2Hg3 at the GGA-PBE level of DFT.

Unit cell a=3.843 b=3.843 c=11.956 alpha=90.00 beta=90.00 gamma=90.00
Space group P4/mmm (No. 123)
One atom of each set of equivalent atoms:
K 0.000 0.000 0.000 [1 per cell]
Na 0.000 0.000 0.350 [2 per cell]
Hg 0.500 0.500 0.205 [2 per cell]
Hg 0.500 0.500 0.500 [1 per cell]

Values from the calculation:
- N(E_F) (states/eV/f.u.) = 2.23
- magnetization (μB per atom) = 0.000
- electronic total energy (eV/atom) = -1.012
- formation enthalpy at 0 K (eV per atom) = -0.24

# 6
Computed, not measured: a relaxed structure of MgNb4S8 at the GGA-PBE level of DFT.

Unit cell a=11.757 b=6.897 c=8.390 alpha=90.00 beta=131.11 gamma=90.00
Space group C2/m (No. 12)
One atom of each set of equivalent atoms:
Mg 0.000 0.000 0.000 [2 per cell]
Nb 0.000 0.290 0.500 [4 per cell]
Nb 0.231 0.500 0.489 [4 per cell]
S 0.018 0.000 0.712 [4 per cell]
S 0.044 0.500 0.774 [4 per cell]
S 0.218 0.249 0.254 [8 per cell]

Values from the calculation:
- raw formation energy (kJ/mol of atoms) = -104
- N(E_F) (states/eV/f.u.) = 5.73
- magnetization (μB per atom) = 0.000
- electronic total energy (eV/atom) = -6.842

# 7
Computed, not measured: a relaxed structure of CrCuHg at the GGA-PBE level of DFT.

Unit cell a=6.108 b=6.108 c=6.108 alpha=90.00 beta=90.00 gamma=90.00
Space group F-43m (No. 216)
One atom of each set of equivalent atoms:
Cr 0.000 0.000 0.000 [4 per cell]
Cu 0.250 0.250 0.250 [4 per cell]
Hg 0.000 0.000 0.500 [4 per cell]

Values from the calculation:
- N(E_F) (states/eV/f.u.) = 1.54
- relative energy among the computed polymorphs (meV/atom) = 176
- magnetization (μB per atom) = 1.364
- electronic total energy (eV/atom) = -4.129
- formation enthalpy at 0 K (eV per atom) = 0.54

# 8
Computed, not measured: a relaxed structure of Ba2ErPu3O12 at the GGA-PBE level of DFT.

Unit cell a=8.0756 b=8.0756 c=18.6831 alpha=90.00 beta=90.00 gamma=120.00
Space group R-3m (No. 166, hexagonal axes)
One atom of each set of equivalent atoms:
Ba 0.0000 0.0000 0.1863 [6 per cell]
Er 0.0000 0.0000 0.5000 [3 per cell]
Pu 0.0000 0.5000 0.0000 [9 per cell]
O 0.0595 0.5297 0.1043 [18 per cell]
O 0.0983 0.5491 0.3623 [18 per cell]

Values from the calculation:
- raw formation energy (kJ/mol of atoms) = -270
- N(E_F) (states/eV/f.u.) = 10.88
- magnetization (μB per atom) = 0.389
- electronic total energy (eV/atom) = -8.963

# 9
Computed, not measured: a relaxed structure of BaGe2H at the GGA-PBE level of DFT.

Unit cell a=5.598 b=5.598 c=12.127 alpha=90.00 beta=90.00 gamma=90.00
Space group I4_1/amd (No. 141, origin choice 2)
One atom of each set of equivalent atoms:
Ba 0.000 0.250 0.375 [4 per cell]
Ge 0.000 0.000 0.000 [8 per cell]
H 0.000 0.250 0.875 [4 per cell]

Values from the calculation:
- N(E_F) (states/eV/f.u.) = 1.26
- relative energy among the computed polymorphs (meV/atom) = 0
- magnetization (μB per atom) = 0.000
- electronic total energy (eV/atom) = -3.592

# 10
Computed, not measured: a relaxed structure of BaMgZrRu2 at the GGA-PBE level of DFT.

Unit cell a=4.908 b=4.908 c=5.826 alpha=90.00 beta=90.00 gamma=90.00
Space group P4/mmm (No. 123)
One atom of each set of equivalent atoms:
Ba 0.000 0.000 0.000 [1 per cell]
Mg 0.500 0.500 0.000 [1 per cell]
Zr 0.000 0.000 0.500 [1 per cell]
Ru 0.000 0.500 0.500 [2 per cell]

Values from the calculation:
- N(E_F) (states/eV/f.u.) = 3.15
- magnetization (μB per atom) = 0.000
- electronic total energy (eV/atom) = -4.978
- formation enthalpy at 0 K (eV per atom) = 1.15

# 11
Computed, not measured: a relaxed structure of LiZr2Tl3S6 at the GGA-PBE level of DFT.

Unit cell a=6.632 b=11.503 c=7.776 alpha=90.00 beta=106.24 gamma=90.00
Space group C2/m (No. 12)
One atom of each set of equivalent atoms:
Li 0.000 0.000 0.000 [2 per cell]
Zr 0.000 0.333 0.000 [4 per cell]
Tl 0.000 0.161 0.500 [4 per cell]
Tl 0.000 0.500 0.500 [2 per cell]
S 0.215 0.500 0.188 [4 per cell]
S 0.241 0.176 0.196 [8 per cell]

Values from the calculation:
- raw formation energy (kJ/mol of atoms) = -106
- magnetization (μB per atom) = 0.000
- electronic total energy (eV/atom) = -5.338

# 12
Computed, not measured: a relaxed structure of La9Er4Tm at the GGA-PBE level of DFT.

Unit cell a=10.0308 b=10.0308 c=11.4875 alpha=90.00 beta=90.00 gamma=120.00
Space group P6_3/mmc (No. 194)
One atom of each set of equivalent atoms:
La 0.0764 0.5382 0.2500 [6 per cell]
La 0.2074 0.4147 0.5288 [12 per cell]
Er 0.0000 0.0000 0.0000 [2 per cell]
Er 0.1091 0.2182 0.2500 [6 per cell]
Tm 0.3333 0.6667 0.7500 [2 per cell]

Values from the calculation:
- N(E_F) (states/eV/f.u.) = 22.95
- magnetization (μB per atom) = 0.000
- electronic total energy (eV/atom) = -4.646
- formation enthalpy at 0 K (eV per atom) = 0.14

# 13
Computed, not measured: a relaxed structure of Sm4Y4Mg at the GGA-PBE level of DFT.

Unit cell a=12.440 b=14.649 c=6.491 alpha=90.00 beta=90.00 gamma=90.00
Space group Cmcm (No. 63)
One atom of each set of equivalent atoms:
Sm 0.139 0.000 0.000 [8 per cell]
Sm 0.234 0.302 0.250 [8 per cell]
Y 0.000 0.206 0.507 [8 per cell]
Y 0.135 0.407 0.750 [8 per cell]
Mg 0.000 0.405 0.250 [4 per cell]

Values from the calculation:
- N(E_F) (states/eV/f.u.) = 15.72
- relative energy among the computed polymorphs (meV/atom) = 152
- magnetization (μB per atom) = 0.000
- electronic total energy (eV/atom) = -4.978
- formation enthalpy at 0 K (eV per atom) = 0.17

# 14
Computed, not measured: a relaxed structure of Li2TiNbB at the GGA-PBE level of DFT.

Unit cell a=4.015 b=4.015 c=4.395 alpha=90.00 beta=90.00 gamma=90.00
Space group P4/mmm (No. 123)
One atom of each set of equivalent atoms:
Li 0.000 0.500 0.000 [2 per cell]
Ti 0.000 0.000 0.500 [1 per cell]
Nb 0.500 0.500 0.500 [1 per cell]
B 0.000 0.000 0.000 [1 per cell]

Values from the calculation:
- N(E_F) (states/eV/f.u.) = 2.12
- magnetization (μB per atom) = 0.000
- electronic total energy (eV/atom) = -5.152
- formation enthalpy at 0 K (eV per atom) = 0.54

# 15
Computed, not measured: a relaxed structure of DyTaSi2Os at the GGA-PBE level of DFT.

Unit cell a=4.009 b=4.009 c=10.983 alpha=90.00 beta=90.00 gamma=90.00
Space group I-4m2 (No. 119)
One atom of each set of equivalent atoms:
Dy 0.000 0.000 0.000 [2 per cell]
Ta 0.000 0.500 0.750 [2 per cell]
Si 0.000 0.000 0.392 [4 per cell]
Os 0.000 0.500 0.250 [2 per cell]

Values from the calculation:
- raw formation energy (kJ/mol of atoms) = -59
- N(E_F) (states/eV/f.u.) = 2.60
- magnetization (μB per atom) = 0.000
- electronic total energy (eV/atom) = -8.319

# 16
Computed, not measured: a relaxed structure of MnRhSe2 at the GGA-PBE level of DFT.

Unit cell a=3.832 b=3.539 c=10.191 alpha=90.00 beta=90.00 gamma=90.00
Space group Amm2 (No. 38)
One atom of each set of equivalent atoms:
Mn 0.000 0.000 0.000 [2 per cell]
Rh 0.500 0.000 0.192 [2 per cell]
Se 0.000 0.000 0.728 [2 per cell]
Se 0.500 0.000 0.440 [2 per cell]

Values from the calculation:
- raw formation energy (kJ/mol of atoms) = -17
- N(E_F) (states/eV/f.u.) = 2.45
- relative energy among the computed polymorphs (meV/atom) = 147
- magnetization (μB per atom) = 1.037
- electronic total energy (eV/atom) = -6.054

# 17
Computed, not measured: a relaxed structure of CeCdHgPb at the GGA-PBE level of DFT.

Unit cell a=7.528 b=7.528 c=7.528 alpha=90.00 beta=90.00 gamma=90.00
Space group F-43m (No. 216)
One atom of each set of equivalent atoms:
Ce 0.000 0.000 0.000 [4 per cell]
Cd 0.000 0.000 0.500 [4 per cell]
Hg 0.250 0.250 0.750 [4 per cell]
Pb 0.250 0.250 0.250 [4 per cell]

Values from the calculation:
- N(E_F) (states/eV/f.u.) = 7.79
- relative energy among the computed polymorphs (meV/atom) = 62
- magnetization (μB per atom) = 0.232
- electronic total energy (eV/atom) = -2.959
- formation enthalpy at 0 K (eV per atom) = -0.24

# 18
Computed, not measured: a relaxed structure of Sm6Ru2CI3 at the GGA-PBE level of DFT.

Unit cell a=7.040 b=12.171 c=8.254 alpha=90.00 beta=106.52 gamma=90.00
Space group C2/m (No. 12)
One atom of each set of equivalent atoms:
Sm 0.215 0.157 0.176 [8 per cell]
Sm 0.245 0.500 0.177 [4 per cell]
Ru 0.000 0.333 0.000 [4 per cell]
C 0.000 0.000 0.000 [2 per cell]
I 0.000 0.167 0.500 [4 per cell]
I 0.000 0.500 0.500 [2 per cell]

Values from the calculation:
- raw formation energy (kJ/mol of atoms) = -62
- N(E_F) (states/eV/f.u.) = 8.48
- magnetization (μB per atom) = 0.000
- electronic total energy (eV/atom) = -5.700

# 19
Computed, not measured: a relaxed structure of LiSiRu at the GGA-PBE level of DFT.

Unit cell a=3.9469 b=3.9469 c=2.8157 alpha=90.00 beta=90.00 gamma=120.00
Space group P3m1 (No. 156)
One atom of each set of equivalent atoms:
Li 0.0000 0.0000 0.0000 [1 per cell]
Si 0.3333 0.6667 0.7105 [1 per cell]
Ru 0.6667 0.3333 0.4404 [1 per cell]

Values from the calculation:
- raw formation energy (kJ/mol of atoms) = -30
- N(E_F) (states/eV/f.u.) = 1.47
- magnetization (μB per atom) = 0.000
- electronic total energy (eV/atom) = -5.847

# 20
Computed, not measured: a relaxed structure of AlTe2S at the GGA-PBE level of DFT.

Unit cell a=3.3956 b=3.3956 c=29.6237 alpha=90.00 beta=90.00 gamma=120.00
Space group R-3m (No. 166, hexagonal axes)
One atom of each set of equivalent atoms:
Al 0.0000 0.0000 0.0000 [3 per cell]
Te 0.0000 0.0000 0.0954 [6 per cell]
S 0.0000 0.0000 0.5000 [3 per cell]

Values from the calculation:
- raw formation energy (kJ/mol of atoms) = 45
- N(E_F) (states/eV/f.u.) = 3.30
- magnetization (μB per atom) = 0.000
- electronic total energy (eV/atom) = -3.070